Au2Br after structural relaxation, computed with GGA-PBE.

Results
As for the distance to the lowest polymorph of the same formula: 0.158 eV/atom. Its total magnetic moment is 0.0 μB/cell. The calculation puts the formation energy from raw total energies at 0.18 eV/atom. The calculation puts the electronic total energy at -2.562 eV/atom. As for the space-group type: C2/m (12). The calculation puts the volume at 138 Å³/cell.

a = 6.4372 Å, b = 6.4372 Å, c = 6.9179 Å
α = 114.93°, β = 114.93°, γ = 32.43°
Last column: nearest neighbours and their distance in Å.
Fractional coordinates of all 6 atoms:
Au 0.1572 0.1572 0.3895  2 Br 2.78, 5 Au 2.78-2.88
Au 0.2661 0.2661 0.8524  1 Br 2.71, 5 Au 2.88
Au 0.7339 0.7339 0.1476  1 Br 2.71, 5 Au 2.88
Au 0.8428 0.8428 0.6105  2 Br 2.78, 5 Au 2.78-2.88
Br 0.4659 0.4659 0.2330  3 Au 2.71-2.78
Br 0.5341 0.5341 0.7670  3 Au 2.71-2.78